Tb2PrI8, relaxed, DFT PBE-GGA; V = 56.2 Å³ per atom; spin magnetization = 1.0 μB per formula unit; density of states at the Fermi level = 0.42 states/eV per cell; formation energy (no corrections) = -1.23 eV/atom
1.0
8.230 -5.052 0.000
8.230 5.052 0.000
-0.079 0.000 7.438
Tb Pr I
2 1 8
Direct
0.167 0.167 0.128
0.833 0.833 0.872
0.000 0.000 0.500
0.156 0.695 0.744
0.168 0.168 0.729
0.305 0.844 0.256
0.333 0.333 0.234
0.667 0.667 0.766
0.695 0.156 0.744
0.832 0.832 0.271
0.844 0.305 0.256